This record from the Alexandria database describes a relaxed structure of TaAlOs2. The functional is PBEsol.

Computed properties:
total magnetization = 0.00 μB/f.u.
ΔE_f = -0.022 eV/atom
polymorph energy (0 for the lowest one) = 2.06 eV per formula unit

a b c (Å): 3.1126 4.1270 4.6333
angles (deg): 90.00 90.00 90.00
Last column: nearest neighbours and their distance in Å.
Atoms (fractional coordinates):
Os (0.5000, 0.0000, 0.5000)  4 Al 2.58, 4 Os 2.79
Os (0.0000, 0.0000, 0.0000)  4 Ta 2.58, 4 Os 2.79
Al (0.0000, 0.5000, 0.5000)  4 Os 2.58, 4 Ta 2.79
Ta (0.5000, 0.5000, 0.0000)  4 Os 2.58, 4 Al 2.79


This record from the Alexandria database describes a relaxed structure of Ta5W4. The functional is PBEsol.

Computed properties:
total magnetization = 0.00 μB/f.u.
ΔE_f = -0.057 eV/atom

a b c (Å): 3.2025 7.0171 7.0171
angles (deg): 87.02 76.81 76.81
Last column: nearest neighbours and their distance in Å.
Atoms (fractional coordinates):
Ta (0.6670, 0.6661, 0.0000)  4 Ta 2.78-2.79, 4 W 2.81
Ta (0.3330, 0.3339, 0.0000)  4 Ta 2.78-2.79, 4 W 2.81
Ta (0.3330, 0.0000, 0.3339)  4 Ta 2.78-2.79, 4 W 2.81
Ta (0.6670, 0.0000, 0.6661)  4 Ta 2.78-2.79, 4 W 2.81
Ta (0.0000, 0.0000, 0.0000)  8 Ta 2.79
W (0.3377, 0.6623, 0.6623)  4 W 2.73, 4 Ta 2.81
W (0.6623, 0.3377, 0.3377)  4 W 2.73, 4 Ta 2.81
W (0.0000, 0.3377, 0.6623)  4 W 2.73, 4 Ta 2.81
W (0.0000, 0.6623, 0.3377)  4 W 2.73, 4 Ta 2.81


This record from the Alexandria database describes a relaxed structure of Pr8Ga3Co. The functional is PBEsol.

Computed properties:
total magnetization = 0.00 μB/f.u.
ΔE_f = -0.328 eV/atom

a b c (Å): 6.8060 10.4212 10.4212
angles (deg): 120.00 90.00 90.00
Last column: nearest neighbours and their distance in Å.
Atoms (fractional coordinates):
Ga (0.4695, 0.8352, 0.6704)  6 Pr 3.03-3.22
Ga (0.4695, 0.8352, 0.1648)  6 Pr 3.03-3.22
Ga (0.4695, 0.3296, 0.1648)  6 Pr 3.03-3.22
Ga (0.9695, 0.1648, 0.3296)  6 Pr 3.03-3.22
Ga (0.9695, 0.6704, 0.8352)  6 Pr 3.03-3.22
Ga (0.9695, 0.1648, 0.8352)  6 Pr 3.03-3.22
Co (0.9394, 0.6667, 0.3333)  4 Pr 2.64-2.81
Co (0.4394, 0.3333, 0.6667)  4 Pr 2.64-2.81
Pr (0.0023, 0.8296, 0.1704)  1 Co 2.97, 3 Ga 3.03-3.18
Pr (0.7124, 0.9268, 0.4634)  1 Co 2.81
Pr (0.2181, 0.0000, 0.0000)  8 Pr 3.40-3.63, 6 Ga 3.42-3.43
Pr (0.2124, 0.0732, 0.5366)  1 Co 2.81
Pr (0.7124, 0.5366, 0.0732)  1 Co 2.81
Pr (0.5023, 0.1704, 0.3407)  1 Co 2.97, 3 Ga 3.03-3.18
Pr (0.5023, 0.6593, 0.8296)  1 Co 2.97, 3 Ga 3.03-3.18
Pr (0.7181, 0.0000, 0.0000)  8 Pr 3.40-3.63, 6 Ga 3.42-3.43
Pr (0.8268, 0.3333, 0.6667)  1 Co 2.64
Pr (0.7124, 0.5366, 0.4634)  1 Co 2.81
Pr (0.0023, 0.8296, 0.6593)  1 Co 2.97, 3 Ga 3.03-3.18
Pr (0.0023, 0.3407, 0.1704)  1 Co 2.97, 3 Ga 3.03-3.18
Pr (0.5023, 0.1704, 0.8296)  1 Co 2.97, 3 Ga 3.03-3.18
Pr (0.2124, 0.4634, 0.9268)  1 Co 2.81
Pr (0.3268, 0.6667, 0.3333)  1 Co 2.64
Pr (0.2124, 0.4634, 0.5366)  1 Co 2.81